VASP calculation (GGA-PBE) on crystalline NaScSbTe2 at its relaxed geometry.

Properties
ΔE_f (raw) in eV per atom: -0.40
Energy relative to the lowest polymorph listed for this composition in eV/atom: 0.000
Calculated density in g cm⁻³: 4.2
D(E_F) in states/eV/f.u.: 5.29
Total magnetization in μB/f.u.: 0.0
Total DFT energy (no corrections) in eV/cell: -20.07

abc: 5.641 5.641 5.514
angles: 90.00 90.00 90.00
Space group P4/mmm (No. 123)
Asymmetric unit:
Na (0.000, 0.000, 0.000)
Sc (0.500, 0.500, 0.500)
Sb (0.500, 0.500, 0.000)
Te (0.000, 0.500, 0.500)